Record 1
Compound: Pm5Al2Ge
Source: the Alexandria database
Functional: PBE
Structure: optimized geometry

Output
* energy relative to the elements: -403 meV per atom
* SG: No. 140
* D(E_F): 8.63 states/eV/f.u.
* E_tot: -39.1 eV/f.u.

```
16
Lattice="-4.6691 5.7976 2.8178 -0.3039 -3.6735 7.0545 8.1801 2.5021 -2.8349" Properties=species:S:1:pos:R:3 pbc="T T T"
Pm 0.7115 -0.3885 5.8752
Pm 4.8767 2.6791 -1.3284
Pm -2.2337 4.6728 5.2707
Pm 0.1475 2.3373 2.7800
Pm 5.4407 -0.0466 1.7667
Pm 2.4955 5.0146 1.1622
Pm -1.6697 1.9470 8.3658
Pm 0.0000 0.0000 0.0000
Pm -2.4865 1.0620 4.9362
Pm 3.0595 2.2889 4.2574
Ge 0.3603 2.8441 5.9868
Ge 2.8468 1.7821 1.0506
Al -0.6666 -0.7201 3.0277
Al -4.3064 2.8442 6.8446
Al -2.9209 3.1492 2.5729
Al -2.0521 -1.0252 7.2994
```

Record 2
Compound: Pm2AlGe3
Source: the Alexandria database
Functional: PBE
Structure: optimized geometry

Output
* energy relative to the elements: -673 meV per atom
* SG: No. 62
* D(E_F): 3.27 states/eV/f.u.
* E_tot: -31.1 eV/f.u.

```
24
Lattice="-1.0602 4.1139 0.7360 -0.1363 -1.2518 6.8002 17.5440 4.3160 1.1461" Properties=species:S:1:pos:R:3 pbc="T T T"
Pm 0.5713 2.4088 6.3017
Pm 15.7763 4.7693 2.3806
Pm 6.4520 4.4647 3.2814
Pm 13.6170 3.6287 5.6456
Pm 9.8955 2.7134 5.4009
Pm 2.7305 3.5494 3.0368
Pm 4.2928 3.3246 6.5434
Pm 12.0547 3.8535 2.1390
Ge 5.1860 2.1915 1.5351
Ge 5.3535 1.7646 4.1623
Ge 2.8120 1.7485 0.5917
Ge 2.9479 1.0318 4.7934
Ge 13.5355 5.4297 8.0906
Ge 13.3996 6.1464 3.8889
Ge 16.5580 4.2656 6.3218
Ge 7.2533 4.1396 6.2527
Ge 10.9940 5.4135 4.5200
Ge 11.1615 4.9867 7.1472
Ge -0.2105 2.9125 2.3605
Ge 9.0943 3.0386 2.4297
Al 15.5351 6.4375 5.3375
Al 0.8125 0.7406 3.3448
Al 7.2376 1.7121 7.1691
Al 9.1099 5.4660 1.5132
```

Record 3
Compound: Pm4AlGe3
Source: the Alexandria database
Functional: PBE
Structure: optimized geometry

Output
* energy relative to the elements: -768 meV per atom
* SG: No. 25
* D(E_F): 6.18 states/eV/f.u.
* E_tot: -42.7 eV/f.u.

```
8
Lattice="4.4655 0.0000 0.0000 0.0000 4.0754 0.0000 0.0000 0.0000 11.1445" Properties=species:S:1:pos:R:3 pbc="T T T"
Ge 2.2327 0.0000 10.2721
Ge 0.0000 2.0377 6.4924
Ge 0.0000 0.0000 4.7042
Al 2.2327 2.0377 0.7957
Pm 0.0000 0.0000 1.5871
Pm 0.0000 2.0377 9.5688
Pm 2.2327 0.0000 7.1133
Pm 2.2327 2.0377 4.0445
```

Record 4
Compound: PmAlGe
Source: the Alexandria database
Functional: PBE
Structure: optimized geometry

Output
* energy relative to the elements: -670 meV per atom
* SG: No. 187
* D(E_F): 0.56 states/eV/f.u.
* E_tot: -15.1 eV/f.u.

```
3
Lattice="-2.5828 3.2555 0.1405 -3.2293 -2.6072 1.0452 2.3997 1.7713 3.0696" Properties=species:S:1:pos:R:3 pbc="T T T"
Al 0.0917 0.8559 2.4183
Ge -0.4293 0.5411 0.0234
Pm -3.0749 1.0226 1.8137
```